No. 1
Entry from Alexandria: SrCaSbBr after structural relaxation (PBE-GGA).

Computed properties:
**Density of states at the Fermi level**: 0.0 states/eV/cell
**Uncorrected formation energy**: -1.44 eV per atom
**Size of the total moment**: 0.000 μB/cell
**SG**: No. 166

Cell lengths 12.9056, 12.9056, 12.9056 Å; angles 23.01, 23.01, 23.01 degrees
Sites, in units of the cell vectors:
Sr 0.1079 0.1079 0.1079
Sr 0.8921 0.8921 0.8921
Ca 0.3023 0.3023 0.3023
Ca 0.6977 0.6977 0.6977
Sb 0.3890 0.3890 0.3890
Sb 0.6110 0.6110 0.6110
Br 0.1964 0.1964 0.1964
Br 0.8036 0.8036 0.8036

No. 2
Entry from Alexandria: Pm4CoBi2 after structural relaxation (PBE-GGA).

Computed properties:
**Density of states at the Fermi level**: 8.7 states/eV/cell
**Formation enthalpy at 0 K**: -0.48 eV/atom
**Size of the total moment**: 0.000 μB/cell
**SG**: No. 11

Cell lengths 6.8072, 6.7671, 9.6986 Å; angles 90.00, 110.20, 90.00 degrees
Sites, in units of the cell vectors:
Pm 0.1945 0.2500 0.1098
Pm 0.2327 0.5024 0.7602
Pm 0.2327 0.9976 0.7602
Pm 0.2967 0.7500 0.4138
Pm 0.7033 0.2500 0.5862
Pm 0.7673 0.0024 0.2398
Pm 0.7673 0.4976 0.2398
Pm 0.8055 0.7500 0.8902
Co 0.0094 0.7500 0.1683
Co 0.9906 0.2500 0.8317
Bi 0.1817 0.2500 0.4513
Bi 0.3332 0.7500 0.0700
Bi 0.6668 0.2500 0.9300
Bi 0.8183 0.7500 0.5487

No. 3
Entry from Alexandria: KZn2SbCl8 after structural relaxation (PBE-GGA).

Computed properties:
**Density of states at the Fermi level**: 0.0 states/eV/cell
**Uncorrected formation energy**: -1.15 eV per atom
**Size of the total moment**: 0.000 μB/cell
**SG**: No. 148

Cell lengths 10.5311, 10.5311, 10.5311 Å; angles 35.68, 35.68, 35.68 degrees
Sites, in units of the cell vectors:
K 0.0000 0.0000 0.0000
Zn 0.2477 0.2477 0.2477
Zn 0.7523 0.7523 0.7523
Sb 0.5000 0.5000 0.5000
Cl 0.1149 0.4378 0.7860
Cl 0.2140 0.8851 0.5622
Cl 0.3223 0.3223 0.3223
Cl 0.4378 0.7861 0.1149
Cl 0.5622 0.2139 0.8851
Cl 0.6777 0.6777 0.6777
Cl 0.7861 0.1149 0.4378
Cl 0.8851 0.5622 0.2139

No. 4
Entry from Alexandria: LaPm2Ho4Tm after structural relaxation (PBE-GGA).

Computed properties:
**Density of states at the Fermi level**: 21.7 states/eV/cell
**Formation enthalpy at 0 K**: 0.02 eV/atom
**Size of the total moment**: 0.000 μB/cell
**SG**: No. 12

Cell lengths 7.1553, 7.1553, 12.3563 Å; angles 106.69, 106.69, 60.13 degrees
Sites, in units of the cell vectors:
La 0.0000 0.0000 0.0000
La 0.0000 0.0000 0.5000
Pm 0.0000 0.5000 0.0000
Pm 0.5000 0.0000 0.0000
Pm 0.5000 0.5000 0.0000
Pm 0.5000 0.5000 0.5000
Ho 0.2500 0.2500 0.7481
Ho 0.2502 0.7486 0.7483
Ho 0.2505 0.2505 0.2523
Ho 0.2514 0.7498 0.2517
Ho 0.7486 0.2502 0.7483
Ho 0.7495 0.7495 0.7477
Ho 0.7498 0.2514 0.2517
Ho 0.7500 0.7500 0.2519
Tm 0.0000 0.5000 0.5000
Tm 0.5000 0.0000 0.5000

No. 5
Entry from Alexandria: UMoIr2 after structural relaxation (PBE-GGA).

Computed properties:
**Density of states at the Fermi level**: 4.1 states/eV/cell
**Formation enthalpy at 0 K**: -0.44 eV/atom
**Size of the total moment**: 0.000 μB/cell
**SG**: No. 123

Cell lengths 4.0635, 4.0635, 4.0711 Å; angles 90.00, 90.00, 90.00 degrees
Sites, in units of the cell vectors:
U 0.0000 0.0000 0.0000
Mo 0.5000 0.5000 0.0000
Ir 0.0000 0.5000 0.5000
Ir 0.5000 0.0000 0.5000

No. 6
Entry from Alexandria: Ti4Bi2O11 after structural relaxation (PBE-GGA).

Computed properties:
**Density of states at the Fermi level**: 0.0 states/eV/cell
**Uncorrected formation energy**: -2.51 eV per atom
**Size of the total moment**: 0.000 μB/cell
**SG**: No. 15

Cell lengths 7.6936, 7.6936, 15.1782 Å; angles 92.92, 92.92, 28.68 degrees
Sites, in units of the cell vectors:
Ti 0.0939 0.6124 0.4830
Ti 0.1998 0.6994 0.8598
Ti 0.3006 0.8002 0.6402
Ti 0.3876 0.9061 0.0170
Ti 0.6124 0.0939 0.9830
Ti 0.6994 0.1998 0.3598
Ti 0.8002 0.3006 0.1402
Ti 0.9061 0.3876 0.5170
Bi 0.1302 0.5087 0.1797
Bi 0.4913 0.8698 0.3203
Bi 0.5087 0.1302 0.6797
Bi 0.8698 0.4913 0.8203
O 0.0303 0.5074 0.5824
O 0.0555 0.5790 0.7755
O 0.1154 0.6105 0.9652
O 0.1703 0.6731 0.3719
O 0.1955 0.6940 0.5755
O 0.2686 0.7314 0.7500
O 0.3060 0.8045 0.9245
O 0.3269 0.8297 0.1281
O 0.3895 0.8846 0.5348
O 0.4210 0.9445 0.7245
O 0.4926 0.9697 0.9176
O 0.5074 0.0303 0.0824
O 0.5790 0.0555 0.2755
O 0.6105 0.1154 0.4652
O 0.6731 0.1703 0.8719
O 0.6940 0.1955 0.0755
O 0.7314 0.2686 0.2500
O 0.8045 0.3060 0.4245
O 0.8297 0.3269 0.6281
O 0.8846 0.3895 0.0348
O 0.9445 0.4210 0.2245
O 0.9697 0.4926 0.4176

No. 7
Entry from Alexandria: GdZnAs2 after structural relaxation (PBE-GGA).

Computed properties:
**Density of states at the Fermi level**: 2.6 states/eV/cell
**Formation enthalpy at 0 K**: -0.40 eV/atom
**Size of the total moment**: 6.766 μB/cell
**SG**: No. 166

Cell lengths 8.1638, 8.1638, 8.1638 Å; angles 30.36, 30.36, 30.36 degrees
Sites, in units of the cell vectors:
Gd 0.0000 0.0000 0.0000
Zn 0.5000 0.5000 0.5000
As 0.4006 0.4006 0.4006
As 0.5994 0.5994 0.5994

No. 8
Entry from Alexandria: TaAsCl after structural relaxation (PBE-GGA).

Computed properties:
**Density of states at the Fermi level**: 2.4 states/eV/cell
**Uncorrected formation energy**: -0.41 eV per atom
**Size of the total moment**: 0.000 μB/cell
**SG**: No. 156

Cell lengths 3.0920, 3.0920, 7.9674 Å; angles 90.00, 90.00, 120.00 degrees
Sites, in units of the cell vectors:
Ta 0.0000 0.0000 0.0000
As 0.3333 0.6667 0.2664
Cl 0.6667 0.3333 0.7735

No. 9
Entry from Alexandria: Dy8Ge5P after structural relaxation (PBE-GGA).

Computed properties:
**Density of states at the Fermi level**: 7.5 states/eV/cell
**Formation enthalpy at 0 K**: -0.93 eV/atom
**Size of the total moment**: 0.000 μB/cell
**SG**: No. 82

Cell lengths 7.6057, 7.6057, 7.6057 Å; angles 109.61, 109.61, 109.20 degrees
Sites, in units of the cell vectors:
Dy 0.0036 0.1269 0.7455
Dy 0.2421 0.4913 0.6157
Dy 0.3736 0.7579 0.2492
Dy 0.3814 0.2581 0.2545
Dy 0.5087 0.1244 0.7508
Dy 0.7419 0.9964 0.1234
Dy 0.8731 0.6186 0.8766
Dy 0.8756 0.6264 0.3843
Ge 0.0000 0.3742 0.1249
Ge 0.1249 0.0000 0.3742
Ge 0.2493 0.8751 0.8751
Ge 0.5000 0.5000 0.0000
Ge 0.6258 0.7507 0.6258
P 0.7500 0.2500 0.5000